DFT (PBE) results for Be4VOs after structural relaxation.

a b c (Å): 6.0989 6.0989 6.0989
angles (deg): 90.00 90.00 90.00
Closest atoms and distances in Å follow each position.
Space group F-43m (No. 216)
Inequivalent atoms, fractional coordinates:
Be (0.1255, 0.1255, 0.1255) [16 per cell]  6 Be 2.15-2.16
V (0.0000, 0.0000, 0.5000) [4 per cell]  12 Be 2.53, 4 Os 2.64
Os (0.2500, 0.2500, 0.7500) [4 per cell]  12 Be 2.53, 4 V 2.64

Values from the calculation:
The electronic total energy comes out at -6.3499 eV per atom. The value obtained for the size of the total moment is 0.000 μB per formula unit. For the density of states at the Fermi level, the calculation gives 6.07 states/eV/cell.